Material: Re3Tc
Method: DFT, meta-GGA SCAN
State: single point on PBEsol structure

Unit cell a=2.733 b=3.874 c=5.478 alpha=90.00 beta=90.00 gamma=90.00
Sites, in units of the cell vectors:
Tc 0.500 0.500 0.000
Re 0.000 0.000 0.248
Re 0.000 0.000 0.752
Re 0.500 0.500 0.500

The relative energy among the computed polymorphs comes out at 0.053 eV per atom. For the formation energy, the calculation gives 4.3 kJ per mole of atoms. The theoretical density is 18.80 Mg/m³.